# 1
A plane-wave DFT calculation with GGA-PBE was carried out for crystalline Re2MoPt at its relaxed geometry.

Cell and atoms, written as CIF:
```
data_Re2MoPt
_cell_length_a 6.2817
_cell_length_b 6.2817
_cell_length_c 6.2817
_cell_angle_alpha 90.00
_cell_angle_beta 90.00
_cell_angle_gamma 90.00
_symmetry_space_group_name_H-M 'F m -3 m'
_symmetry_Int_Tables_number 225
_symmetry_space_group_name_Hall '-F 4 2 3'
loop_
_atom_site_label
_atom_site_type_symbol
_atom_site_fract_x
_atom_site_fract_y
_atom_site_fract_z
Re1 Re 0.2500 0.2500 0.2500
Mo1 Mo 0.0000 0.0000 0.0000
Pt1 Pt 0.0000 0.0000 0.5000
```

Summary:
The total energy is -162.1 eV for the cell shown. Its density of states at the Fermi level is 6.46 states/eV/f.u. As for the energy above the lowest structure with this stoichiometry: 428 meV per atom. As for the formation energy: 313 meV per atom.


# 2
A plane-wave DFT calculation with GGA-PBE was carried out for crystalline Re2MoPt at its relaxed geometry.

Cell and atoms, written as CIF:
```
data_Re2MoPt
_cell_length_a 2.7598
_cell_length_b 3.9721
_cell_length_c 5.5978
_cell_angle_alpha 90.00
_cell_angle_beta 90.00
_cell_angle_gamma 90.00
_symmetry_space_group_name_H-M 'P m m m'
_symmetry_Int_Tables_number 47
_symmetry_space_group_name_Hall '-P 2 2'
loop_
_atom_site_label
_atom_site_type_symbol
_atom_site_fract_x
_atom_site_fract_y
_atom_site_fract_z
Re1 Re 0.0000 0.0000 0.2349
Mo1 Mo 0.5000 0.5000 0.0000
Pt1 Pt 0.5000 0.5000 0.5000
```

Summary:
The total energy is -41.6 eV for the cell shown. Its density of states at the Fermi level is 2.91 states/eV/f.u. As for the energy above the lowest structure with this stoichiometry: 147 meV per atom. As for the formation energy: 32 meV per atom.


# 3
A plane-wave DFT calculation with GGA-PBE was carried out for crystalline Re2MoPt at its relaxed geometry.

Cell and atoms, written as CIF:
```
data_Re2MoPt
_cell_length_a 9.2837
_cell_length_b 2.7540
_cell_length_c 4.8473
_cell_angle_alpha 90.00
_cell_angle_beta 99.83
_cell_angle_gamma 90.00
_symmetry_space_group_name_H-M 'C 1 m 1'
_symmetry_Int_Tables_number 8
_symmetry_space_group_name_Hall 'C -2y'
loop_
_atom_site_label
_atom_site_type_symbol
_atom_site_fract_x
_atom_site_fract_y
_atom_site_fract_z
Re1 Re 0.0000 0.0000 0.0000
Re2 Re 0.2453 0.5000 0.2266
Mo1 Mo 0.2501 0.0000 0.7362
Pt1 Pt 0.4972 0.0000 0.4925
```

Summary:
The total energy is -83.5 eV for the cell shown. Its density of states at the Fermi level is 4.22 states/eV/f.u. As for the energy above the lowest structure with this stoichiometry: 116 meV per atom. As for the formation energy: 1 meV per atom.


# 4
A plane-wave DFT calculation with GGA-PBE was carried out for crystalline ReMo2Pt at its relaxed geometry.

Cell and atoms, written as CIF:
```
data_ReMo2Pt
_cell_length_a 3.9723
_cell_length_b 3.9723
_cell_length_c 7.8180
_cell_angle_alpha 90.00
_cell_angle_beta 90.00
_cell_angle_gamma 90.00
_symmetry_space_group_name_H-M 'I 4/m m m'
_symmetry_Int_Tables_number 139
_symmetry_space_group_name_Hall '-I 4 2'
loop_
_atom_site_label
_atom_site_type_symbol
_atom_site_fract_x
_atom_site_fract_y
_atom_site_fract_z
Re1 Re 0.0000 0.0000 0.0000
Mo1 Mo 0.0000 0.5000 0.2500
Pt1 Pt 0.0000 0.0000 0.5000
```

Summary:
The total energy is -81.2 eV for the cell shown. Its density of states at the Fermi level is 3.56 states/eV/f.u. As for the energy above the lowest structure with this stoichiometry: 22 meV per atom. As for the formation energy: -114 meV per atom.


# 5
A plane-wave DFT calculation with GGA-PBE was carried out for crystalline Re2MoPt at its relaxed geometry.

Cell and atoms, written as CIF:
```
data_Re2MoPt
_cell_length_a 5.5677
_cell_length_b 7.9921
_cell_length_c 2.7386
_cell_angle_alpha 90.00
_cell_angle_beta 90.00
_cell_angle_gamma 90.00
_symmetry_space_group_name_H-M 'C m m m'
_symmetry_Int_Tables_number 65
_symmetry_space_group_name_Hall '-C 2 2'
loop_
_atom_site_label
_atom_site_type_symbol
_atom_site_fract_x
_atom_site_fract_y
_atom_site_fract_z
Re1 Re 0.2500 0.2500 0.0000
Mo1 Mo 0.0000 0.0000 0.5000
Pt1 Pt 0.0000 0.5000 0.5000
```

Summary:
The total energy is -83.4 eV for the cell shown. Its density of states at the Fermi level is 3.62 states/eV/f.u. As for the energy above the lowest structure with this stoichiometry: 135 meV per atom. As for the formation energy: 19 meV per atom.


# 6
A plane-wave DFT calculation with GGA-PBE was carried out for crystalline ReMoPt4 at its relaxed geometry.

Cell and atoms, written as CIF:
```
data_ReMoPt4
_cell_length_a 7.2933
_cell_length_b 7.2933
_cell_length_c 7.2933
_cell_angle_alpha 90.00
_cell_angle_beta 90.00
_cell_angle_gamma 90.00
_symmetry_space_group_name_H-M 'F -4 3 m'
_symmetry_Int_Tables_number 216
_symmetry_space_group_name_Hall 'F -4 2 3'
loop_
_atom_site_label
_atom_site_type_symbol
_atom_site_fract_x
_atom_site_fract_y
_atom_site_fract_z
Re1 Re 0.0000 0.0000 0.0000
Mo1 Mo 0.2500 0.2500 0.7500
Pt1 Pt 0.1251 0.1251 0.3749
```

Summary:
The total energy is -181.5 eV for the cell shown. Its density of states at the Fermi level is 3.84 states/eV/f.u. As for the formation energy: 345 meV per atom.


# 7
A plane-wave DFT calculation with GGA-PBE was carried out for crystalline Re2MoPt at its relaxed geometry.

Cell and atoms, written as CIF:
```
data_Re2MoPt
_cell_length_a 3.9421
_cell_length_b 3.9421
_cell_length_c 7.8280
_cell_angle_alpha 90.00
_cell_angle_beta 90.00
_cell_angle_gamma 90.00
_symmetry_space_group_name_H-M 'I 4/m m m'
_symmetry_Int_Tables_number 139
_symmetry_space_group_name_Hall '-I 4 2'
loop_
_atom_site_label
_atom_site_type_symbol
_atom_site_fract_x
_atom_site_fract_y
_atom_site_fract_z
Re1 Re 0.0000 0.5000 0.2500
Mo1 Mo 0.0000 0.0000 0.0000
Pt1 Pt 0.0000 0.0000 0.5000
```

Summary:
The total energy is -83.9 eV for the cell shown. Its density of states at the Fermi level is 3.13 states/eV/f.u. As for the energy above the lowest structure with this stoichiometry: 66 meV per atom. As for the formation energy: -50 meV per atom.


# 8
A plane-wave DFT calculation with GGA-PBE was carried out for crystalline ReMo2Pt at its relaxed geometry.

Cell and atoms, written as CIF:
```
data_ReMo2Pt
_cell_length_a 2.7677
_cell_length_b 4.5405
_cell_length_c 4.9089
_cell_angle_alpha 90.00
_cell_angle_beta 90.00
_cell_angle_gamma 90.00
_symmetry_space_group_name_H-M 'P m m 2'
_symmetry_Int_Tables_number 25
_symmetry_space_group_name_Hall 'P 2 -2'
loop_
_atom_site_label
_atom_site_type_symbol
_atom_site_fract_x
_atom_site_fract_y
_atom_site_fract_z
Re1 Re 0.0000 0.0000 0.0000
Mo1 Mo 0.5000 0.0000 0.5064
Mo2 Mo 0.5000 0.5000 0.8392
Pt1 Pt 0.0000 0.5000 0.3413
```

Summary:
The total energy is -40.5 eV for the cell shown. Its density of states at the Fermi level is 2.89 states/eV/f.u. As for the energy above the lowest structure with this stoichiometry: 53 meV per atom. As for the formation energy: -83 meV per atom.